First-principles (PBE) data for a relaxed structure of Ac3TlGe2Au6, as listed in Alexandria.

It has space group P-3m1 (No. 164), with a = 6.5778 Å, b = 6.5778 Å, c = 8.5642 Å, α = 90.00°, β = 90.00° and γ = 120.00°. The inequivalent atoms are Ac at (0.0000, 0.0000, 0.0000), Ac at (0.3333, 0.6667, 0.6481), Tl at (0.0000, 0.0000, 0.5000), Ge at (0.3333, 0.6667, 0.0457) and Au at (0.1837, 0.3674, 0.2770).

For the formation energy, the calculation gives -538 kJ/mol of formula units.